Model A:
Below is an optimized crystal structure of SrHg3Ir, with properties calculated at the PBE-GGA level.

Unit cell a=5.2617 b=5.2617 c=5.2617 alpha=90.00 beta=90.00 gamma=90.00
Closest atoms and distances in Å follow each position.
Positions (direct):
Sr: 0.5000 0.5000 0.5000  12 Hg 3.72
Ir: 0.0000 0.0000 0.0000  6 Hg 2.63
Hg: 0.0000 0.5000 0.0000  2 Ir 2.63
Hg: 0.0000 0.0000 0.5000  2 Ir 2.63
Hg: 0.5000 0.0000 0.0000  2 Ir 2.63

Results
As for the density: 10.05 g/cm³. As for the density of states at the Fermi level: 0.615 states/eV/atom. Its spin magnetization is 0.0000 μB/atom.

Model B:
Below is an optimized crystal structure of SrHg3Ir, with properties calculated at the PBE-GGA level.

Unit cell a=6.2460 b=6.2460 c=6.2460 alpha=90.00 beta=90.00 gamma=90.00
Closest atoms and distances in Å follow each position.
Positions (direct):
Sr: 0.0000 0.0000 0.0000  6 Hg 3.12
Ir: 0.5000 0.5000 0.5000  12 Hg 4.42
Hg: 0.0000 0.5000 0.0000  2 Sr 3.12
Hg: 0.0000 0.0000 0.5000  2 Sr 3.12
Hg: 0.5000 0.0000 0.0000  2 Sr 3.12

Results
As for the density: 6.01 g/cm³. As for the density of states at the Fermi level: 0.612 states/eV/atom. Its spin magnetization is 0.3796 μB/atom.

Result of the stability comparison: model A is the most stable of them.

Model A:
Below is an optimized crystal structure of Sr8Hg2Ir, with properties calculated at the PBE-GGA level.

Unit cell a=7.2372 b=8.6116 c=8.6116 alpha=72.61 beta=75.19 gamma=75.19
Closest atoms and distances in Å follow each position.
Positions (direct):
Sr: 0.2428 0.6649 0.0567  1 Ir 2.94
Sr: 0.7572 0.9433 0.3351  1 Ir 2.94
Sr: 0.2518 0.1275 0.1275  1 Ir 2.92
Sr: 0.7482 0.8725 0.8725  1 Ir 2.92
Sr: 0.2428 0.0567 0.6649  1 Ir 2.94
Sr: 0.7572 0.3351 0.9433  1 Ir 2.94
Sr: 0.7950 0.4127 0.4127  2 Hg 3.37-3.44
Sr: 0.2050 0.5873 0.5873  2 Hg 3.37-3.44
Hg: 0.4084 0.3273 0.3273  7 Sr 3.30-3.60
Hg: 0.5916 0.6727 0.6727  7 Sr 3.30-3.60
Ir: 0.0000 0.0000 0.0000  6 Sr 2.92-2.94

Results
As for the density: 4.43 g/cm³. As for the density of states at the Fermi level: 0.898 states/eV/atom. Its spin magnetization is 0.0000 μB/atom.

Model B:
Below is an optimized crystal structure of Sr8Hg2Ir, with properties calculated at the PBE-GGA level.

Unit cell a=5.7278 b=7.5547 c=10.5230 alpha=105.55 beta=105.79 gamma=90.00
Closest atoms and distances in Å follow each position.
Positions (direct):
Sr: 0.4130 0.5943 0.8261  1 Ir 3.08
Sr: 0.6486 0.9594 0.2973  1 Ir 3.11, 1 Hg 3.48
Sr: 0.7865 0.6898 0.5730  3 Hg 3.36-3.55
Sr: 0.9706 0.1950 0.9413  2 Ir 3.35, 1 Hg 3.41, 3 Sr 3.47-3.72
Sr: 0.2135 0.3102 0.4270  3 Hg 3.36-3.55
Sr: 0.3514 0.0406 0.7027  1 Ir 3.11, 1 Hg 3.48
Sr: 0.5870 0.4057 0.1739  1 Ir 3.08
Sr: 0.0294 0.8050 0.0587  2 Ir 3.35, 1 Hg 3.41, 3 Sr 3.47-3.72
Hg: 0.8119 0.2687 0.6238  7 Sr 3.36-3.55
Hg: 0.1881 0.7313 0.3762  7 Sr 3.36-3.55
Ir: 0.5000 0.0000 0.0000  8 Sr 3.08-3.35

Results
As for the density: 5.11 g/cm³. As for the density of states at the Fermi level: 1.154 states/eV/atom. Its spin magnetization is 0.0000 μB/atom.

Result of the stability comparison: model A is the most stable of them.